(1)
The following is a DFT calculation (GGA-PBE) of a relaxed Mn2CuHW crystal.

Geometry as POSCAR:
```
Mn2CuHW
1.0
3.850 0.000 0.000
0.000 3.850 0.000
0.000 0.000 3.510
Mn Cu H W
2 1 1 1
Direct
0.000 0.500 0.000
0.500 0.000 0.000
0.000 0.000 0.500
0.000 0.000 0.000
0.500 0.500 0.500
```

Relative energy among the computed polymorphs in meV/atom: 0.0
Magnetic moment in μB per atom: 0.412
Electronic total energy in eV/atom: -7.58



(2)
The following is a DFT calculation (GGA-PBE) of a relaxed AcPrSm2 crystal.

Geometry as POSCAR:
```
AcPrSm2
1.0
1.827 1.055 13.010
-1.827 1.055 13.010
0.000 -2.110 13.010
Ac Pr Sm
1 1 2
Direct
0.000 0.000 0.000
0.500 0.500 0.500
0.091 0.091 0.091
0.909 0.909 0.909
```

Relative energy among the computed polymorphs in meV/atom: 144.1
Formation energy in kJ per mole of atoms: 16.62
Magnetic moment in μB per atom: 0.000
Electronic total energy in eV/atom: -4.41



(3)
The following is a DFT calculation (GGA-PBE) of a relaxed MgRh crystal.

Geometry as POSCAR:
```
MgRh
1.0
2.934 0.000 0.000
0.000 2.934 0.000
0.000 0.000 7.840
Mg Rh
2 2
Direct
0.250 0.250 0.168
0.750 0.750 0.832
0.250 0.250 0.611
0.750 0.750 0.389
```

Formation energy in kJ per mole of atoms: -18.99
Magnetic moment in μB per atom: 0.200
Electronic total energy in eV/atom: -4.67



(4)
The following is a DFT calculation (GGA-PBE) of a relaxed HfGa2H2 crystal.

Geometry as POSCAR:
```
HfGa2H2
1.0
5.629 0.000 0.000
0.000 5.629 0.000
0.000 0.000 3.986
Hf Ga H
2 4 4
Direct
0.000 0.000 0.000
0.500 0.500 0.000
0.196 0.304 0.500
0.304 0.804 0.500
0.696 0.196 0.500
0.804 0.696 0.500
0.184 0.684 0.000
0.316 0.184 0.000
0.684 0.816 0.000
0.816 0.316 0.000
```

Magnetic moment in μB per atom: 0.000
Electronic total energy in eV/atom: -4.60



(5)
The following is a DFT calculation (GGA-PBE) of a relaxed BaCe2CrN4 crystal.

Geometry as POSCAR:
```
BaCe2CrN4
1.0
1.780 -6.173 0.000
1.780 6.173 0.000
0.000 0.000 12.038
Ba Ce Cr N
2 4 2 8
Direct
0.089 0.911 0.750
0.911 0.089 0.250
0.367 0.633 0.546
0.367 0.633 0.954
0.633 0.367 0.046
0.633 0.367 0.454
0.177 0.823 0.250
0.823 0.177 0.750
0.000 0.000 0.000
0.000 0.000 0.500
0.252 0.748 0.117
0.252 0.748 0.383
0.395 0.605 0.750
0.605 0.395 0.250
0.748 0.252 0.617
0.748 0.252 0.883
```

Formation energy without anion corrections in meV/atom: -1097
Magnetic moment in μB per atom: 0.361
Electronic total energy in eV/atom: -8.19



(6)
The following is a DFT calculation (GGA-PBE) of a relaxed TaCu2Ni3 crystal.

Geometry as POSCAR:
```
TaCu2Ni3
1.0
3.768 -2.562 0.000
3.768 2.562 0.000
-0.006 0.000 7.657
Ta Cu Ni
2 4 6
Direct
0.250 0.250 0.181
0.750 0.750 0.819
0.250 0.250 0.520
0.250 0.750 0.000
0.750 0.250 0.000
0.750 0.750 0.480
0.250 0.250 0.845
0.250 0.750 0.336
0.250 0.750 0.664
0.750 0.250 0.336
0.750 0.250 0.664
0.750 0.750 0.155
```

Formation energy in kJ per mole of atoms: -10.71
Magnetic moment in μB per atom: 0.000
Electronic total energy in eV/atom: -6.34



(7)
The following is a DFT calculation (GGA-PBE) of a relaxed LiTcBr crystal.

Geometry as POSCAR:
```
LiTcBr
1.0
-1.579 1.579 5.500
1.579 -1.579 5.500
1.579 1.579 -5.500
Li Tc Br
1 1 1
Direct
0.000 0.000 0.000
0.669 0.669 0.000
0.280 0.280 0.000
```

Formation energy without anion corrections in meV/atom: 444
Relative energy among the computed polymorphs in meV/atom: 61.4
Magnetic moment in μB per atom: 0.000
Electronic total energy in eV/atom: -4.21



(8)
The following is a DFT calculation (GGA-PBE) of a relaxed BaCaCl2 crystal.

Geometry as POSCAR:
```
BaCaCl2
1.0
8.210 -2.037 0.000
8.210 2.037 0.000
-1.308 0.000 4.447
Ba Ca Cl
1 1 2
Direct
0.000 0.000 0.000
0.289 0.289 0.290
0.472 0.472 0.472
0.661 0.661 0.160
```

Formation energy without anion corrections in meV/atom: -1649
Relative energy among the computed polymorphs in meV/atom: 47.0
Magnetic moment in μB per atom: 0.006
Electronic total energy in eV/atom: -3.55



(9)
The following is a DFT calculation (GGA-PBE) of a relaxed SnSb3S crystal.

Geometry as POSCAR:
```
SnSb3S
1.0
5.258 0.000 0.000
0.000 5.258 0.000
0.000 0.000 5.258
Sn Sb S
1 3 1
Direct
0.000 0.000 0.000
0.000 0.500 0.500
0.500 0.000 0.500
0.500 0.500 0.000
0.500 0.500 0.500
```

Formation energy without anion corrections in meV/atom: 423
Relative energy among the computed polymorphs in meV/atom: 0.0
Magnetic moment in μB per atom: 0.000
Electronic total energy in eV/atom: -3.68



(10)
The following is a DFT calculation (GGA-PBE) of a relaxed Er5ScAs6 crystal.

Geometry as POSCAR:
```
Er5ScAs6
1.0
3.510 -6.076 0.000
3.510 6.076 0.000
-2.341 0.000 6.614
Er Sc As
5 1 6
Direct
0.000 0.000 0.000
0.166 0.834 0.500
0.332 0.668 0.000
0.668 0.332 0.000
0.834 0.166 0.500
0.500 0.500 0.500
0.091 0.418 0.254
0.255 0.255 0.747
0.418 0.091 0.254
0.582 0.909 0.746
0.745 0.745 0.253
0.909 0.582 0.746
```

Formation energy in kJ per mole of atoms: -143.57
Magnetic moment in μB per atom: 0.000
Electronic total energy in eV/atom: -6.24



(11)
The following is a DFT calculation (GGA-PBE) of a relaxed Pr5Y3Te8 crystal.

Geometry as POSCAR:
```
Pr5Y3Te8
1.0
4.445 2.566 7.393
-4.445 2.566 7.393
0.000 -5.132 7.393
Pr Y Te
5 3 8
Direct
0.000 0.000 0.000
0.000 0.500 0.500
0.500 0.000 0.500
0.500 0.500 0.000
0.500 0.500 0.500
0.000 0.000 0.500
0.000 0.500 0.000
0.500 0.000 0.000
0.240 0.750 0.750
0.245 0.245 0.245
0.250 0.250 0.760
0.250 0.760 0.250
0.750 0.240 0.750
0.750 0.750 0.240
0.755 0.755 0.755
0.760 0.250 0.250
```

Formation energy without anion corrections in meV/atom: -1388
Magnetic moment in μB per atom: 0.000
Electronic total energy in eV/atom: -5.66



(12)
The following is a DFT calculation (GGA-PBE) of a relaxed Ca2TaW crystal.

Geometry as POSCAR:
```
Ca2TaW
1.0
4.624 -1.512 0.000
4.624 1.512 0.000
-0.345 0.000 7.071
Ca Ta W
2 1 1
Direct
0.000 0.000 0.000
0.234 0.234 0.661
0.751 0.751 0.264
0.488 0.488 0.401
```

Relative energy among the computed polymorphs in meV/atom: 317.1
Formation energy in kJ per mole of atoms: 69.07
Magnetic moment in μB per atom: 0.000
Electronic total energy in eV/atom: -6.49



(13)
The following is a DFT calculation (GGA-PBE) of a relaxed InTeIr2Ru crystal.

Geometry as POSCAR:
```
InTeIr2Ru
1.0
4.777 0.000 0.000
0.000 4.777 0.000
0.000 0.000 5.107
In Te Ir Ru
1 1 2 1
Direct
0.000 0.000 0.000
0.500 0.500 0.000
0.000 0.500 0.500
0.500 0.000 0.500
0.500 0.500 0.500
```

Formation energy without anion corrections in meV/atom: 1172
Magnetic moment in μB per atom: 0.000
Electronic total energy in eV/atom: -5.40



(14)
The following is a DFT calculation (GGA-PBE) of a relaxed BePRh2 crystal.

Geometry as POSCAR:
```
BePRh2
1.0
4.210 -1.422 0.000
4.210 1.422 0.000
-0.941 0.000 4.054
Be P Rh
1 1 2
Direct
0.000 0.000 0.000
0.750 0.750 0.348
0.261 0.261 0.893
0.490 0.490 0.487
```

Relative energy among the computed polymorphs in meV/atom: 47.7
Formation energy in kJ per mole of atoms: -50.01
Magnetic moment in μB per atom: 0.000
Electronic total energy in eV/atom: -6.48



(15)
The following is a DFT calculation (GGA-PBE) of a relaxed K3HfTa crystal.

Geometry as POSCAR:
```
K3HfTa
1.0
6.575 0.000 0.000
0.000 6.575 0.000
0.000 0.000 6.575
K Hf Ta
3 1 1
Direct
0.000 0.000 0.500
0.000 0.500 0.000
0.500 0.000 0.000
0.000 0.000 0.000
0.500 0.500 0.500
```

Relative energy among the computed polymorphs in meV/atom: 134.0
Formation energy in kJ per mole of atoms: 233.82
Magnetic moment in μB per atom: 1.600
Electronic total energy in eV/atom: -2.60



(16)
The following is a DFT calculation (GGA-PBE) of a relaxed NdBiRu2O7 crystal.

Geometry as POSCAR:
```
NdBiRu2O7
1.0
-3.667 3.713 5.211
3.667 -3.713 5.211
3.667 3.713 -5.211
Nd Bi Ru O
2 2 4 14
Direct
0.000 0.000 0.000
0.500 0.000 0.500
0.500 0.000 0.000
0.500 0.500 0.500
0.000 0.000 0.500
0.000 0.500 0.000
0.000 0.500 0.500
0.500 0.500 0.000
0.082 0.426 0.254
0.082 0.828 0.656
0.083 0.833 0.250
0.327 0.577 0.750
0.329 0.172 0.754
0.329 0.574 0.156
0.374 0.124 0.250
0.626 0.876 0.750
0.671 0.426 0.844
0.671 0.828 0.246
0.673 0.423 0.250
0.917 0.167 0.750
0.918 0.172 0.344
0.918 0.574 0.746
```

Formation energy without anion corrections in meV/atom: -1587
Magnetic moment in μB per atom: 0.017
Electronic total energy in eV/atom: -7.22



(17)
The following is a DFT calculation (GGA-PBE) of a relaxed RbU2S3 crystal.

Geometry as POSCAR:
```
RbU2S3
1.0
3.616 0.000 0.000
0.000 11.166 0.000
0.000 0.000 7.464
Rb U S
2 4 6
Direct
0.000 0.119 0.000
0.000 0.881 0.500
0.000 0.298 0.525
0.000 0.702 0.025
0.500 0.461 0.546
0.500 0.539 0.046
0.000 0.407 0.847
0.000 0.593 0.347
0.500 0.127 0.598
0.500 0.322 0.236
0.500 0.678 0.736
0.500 0.873 0.098
```

Formation energy without anion corrections in meV/atom: -1140
Magnetic moment in μB per atom: 0.000
Electronic total energy in eV/atom: -7.13



(18)
The following is a DFT calculation (GGA-PBE) of a relaxed Ag5S2I crystal.

Geometry as POSCAR:
```
Ag5S2I
1.0
-2.509 2.509 7.147
2.509 -2.509 7.147
2.509 2.509 -7.147
Ag S I
5 2 1
Direct
0.000 0.000 0.000
0.146 0.646 0.500
0.354 0.854 0.500
0.646 0.146 0.500
0.854 0.354 0.500
0.174 0.174 0.000
0.826 0.826 0.000
0.500 0.500 0.000
```

Formation energy without anion corrections in meV/atom: -18
Magnetic moment in μB per atom: 0.000
Electronic total energy in eV/atom: -3.03



(19)
The following is a DFT calculation (GGA-PBE) of a relaxed Li2CaGaBr crystal.

Geometry as POSCAR:
```
Li2CaGaBr
1.0
4.784 0.000 0.000
0.000 4.784 0.000
0.000 0.000 6.322
Li Ca Ga Br
2 1 1 1
Direct
0.000 0.500 0.000
0.500 0.000 0.000
0.000 0.000 0.500
0.500 0.500 0.500
0.500 0.500 0.000
```

Formation energy without anion corrections in meV/atom: -312
Magnetic moment in μB per atom: 0.000
Electronic total energy in eV/atom: -2.42



(20)
The following is a DFT calculation (GGA-PBE) of a relaxed Li2SmPuPt2 crystal.

Geometry as POSCAR:
```
Li2SmPuPt2
1.0
4.425 0.000 0.000
-2.213 3.832 0.000
0.000 0.000 7.004
Li Sm Pu Pt
2 1 1 2
Direct
0.333 0.667 0.258
0.667 0.333 0.742
0.000 0.000 0.000
0.000 0.000 0.500
0.333 0.667 0.734
0.667 0.333 0.266
```

Formation energy in kJ per mole of atoms: -61.05
Magnetic moment in μB per atom: 0.951
Electronic total energy in eV/atom: -6.46



(21)
The following is a DFT calculation (GGA-PBE) of a relaxed MgAl5Pd6 crystal.

Geometry as POSCAR:
```
MgAl5Pd6
1.0
-2.160 3.170 6.476
2.160 -3.170 6.476
2.160 3.170 -6.476
Mg Al Pd
1 5 6
Direct
0.000 0.000 0.000
0.163 0.663 0.500
0.332 0.332 0.000
0.500 0.000 0.500
0.668 0.668 0.000
0.837 0.337 0.500
0.086 0.829 0.257
0.263 0.500 0.763
0.427 0.171 0.257
0.573 0.829 0.743
0.737 0.500 0.237
0.914 0.171 0.743
```

Formation energy in kJ per mole of atoms: -83.14
Magnetic moment in μB per atom: 0.000
Electronic total energy in eV/atom: -5.15



(22)
The following is a DFT calculation (GGA-PBE) of a relaxed NbMoBr3 crystal.

Geometry as POSCAR:
```
NbMoBr3
1.0
5.343 0.000 0.000
0.000 5.343 0.000
0.000 0.000 5.343
Nb Mo Br
1 1 3
Direct
0.000 0.000 0.000
0.500 0.500 0.500
0.000 0.000 0.500
0.000 0.500 0.000
0.500 0.000 0.000
```

Formation energy without anion corrections in meV/atom: 632
Relative energy among the computed polymorphs in meV/atom: 0.0
Magnetic moment in μB per atom: 1.600
Electronic total energy in eV/atom: -4.55



(23)
The following is a DFT calculation (GGA-PBE) of a relaxed Pr5Dy2Tm4 crystal.

Geometry as POSCAR:
```
Pr5Dy2Tm4
1.0
-1.767 4.570 11.802
1.767 -4.570 11.802
1.767 4.570 -11.802
Pr Dy Tm
5 2 4
Direct
0.000 0.000 0.000
0.056 0.354 0.701
0.347 0.646 0.701
0.653 0.354 0.299
0.944 0.646 0.299
0.270 0.770 0.500
0.730 0.230 0.500
0.317 0.500 0.817
0.404 0.904 0.500
0.596 0.096 0.500
0.683 0.500 0.183
```

Relative energy among the computed polymorphs in meV/atom: 106.0
Formation energy in kJ per mole of atoms: 17.77
Magnetic moment in μB per atom: 0.000
Electronic total energy in eV/atom: -4.45



(24)
The following is a DFT calculation (GGA-PBE) of a relaxed LiCrIr2 crystal.

Geometry as POSCAR:
```
LiCrIr2
1.0
2.720 0.000 0.000
0.000 2.720 0.000
0.000 0.000 7.889
Li Cr Ir
1 1 2
Direct
0.000 0.000 0.000
0.500 0.500 0.288
0.000 0.000 0.511
0.500 0.500 0.758
```

Formation energy in kJ per mole of atoms: 19.91
Magnetic moment in μB per atom: 0.681
Electronic total energy in eV/atom: -7.11



Listing Fermi-level density of states for the structures above in their given order: 0.367; 1.830; 1.197; 0.139; 0.747; 0.369; 0.528; 0.551; 0.581; 0.119; 0.747; 1.152; 1.093; 0.514; 2.225; 0.475; 0.970; 0.006; 0.730; 2.011; 0.463; 0.379; 1.638; 1.139 states/eV per atom.